Model a:
Material: CeGdTh2
Method: DFT, GGA-PBE
State: relaxed

Lattice parameters (Å, degrees): 4.944 5.010 5.010 90.00 90.00 90.00
Positions (direct):
Th (0.000, 0.000, 0.500)
Ce (0.500, 0.500, 0.500)
Gd (0.500, 0.000, 0.000)
Th (0.000, 0.500, 0.000)

Values from the calculation:
space-group type	P4/mmm, No. 123
D(E_F)	8.923	states/eV/cell



Model b:
Material: CeGdTh2
Method: DFT, GGA-PBE
State: relaxed

Lattice parameters (Å, degrees): 5.608 5.608 5.608 60.00 60.00 60.00
Positions (direct):
Th (0.750, 0.750, 0.750)
Th (0.250, 0.250, 0.250)
Ce (0.000, 0.000, 0.000)
Gd (0.500, 0.500, 0.500)

Values from the calculation:
space-group type	Fm-3m, No. 225
D(E_F)	10.891	states/eV/cell



Which one sits at the top of the stability order? model a does.



Model a:
Material: Ce2GdTi
Method: DFT, GGA-PBE
State: relaxed

Lattice parameters (Å, degrees): 3.868 3.868 7.127 90.00 90.00 90.00
Positions (direct):
Ti (0.500, 0.500, 0.000)
Gd (0.500, 0.500, 0.500)
Ce (0.000, 0.000, 0.793)
Ce (0.000, 0.000, 0.207)

Values from the calculation:
space-group type	P4/mmm, No. 123
D(E_F)	11.655	states/eV/cell



Model b:
Material: Ce2GdTi
Method: DFT, GGA-PBE
State: relaxed

Lattice parameters (Å, degrees): 4.869 4.607 4.607 90.00 90.00 90.00
Positions (direct):
Gd (0.500, 0.000, 0.000)
Ce (0.000, 0.500, 0.000)
Ce (0.000, 0.000, 0.500)
Ti (0.500, 0.500, 0.500)

Values from the calculation:
space-group type	P4/mmm, No. 123
D(E_F)	10.252	states/eV/cell



Which one sits at the top of the stability order? model b does.



Model a:
Material: CeGd2Tl
Method: DFT, GGA-PBE
State: relaxed

Lattice parameters (Å, degrees): 3.609 3.609 9.065 90.00 90.00 90.00
Positions (direct):
Ce (0.500, 0.500, 0.500)
Tl (0.500, 0.500, 0.000)
Gd (0.000, 0.000, 0.236)
Gd (0.000, 0.000, 0.764)

Values from the calculation:
space-group type	P4/mmm, No. 123
D(E_F)	5.320	states/eV/cell



Model b:
Material: CeGd2Tl
Method: DFT, GGA-PBE
State: relaxed

Lattice parameters (Å, degrees): 5.479 5.479 5.479 60.00 60.00 60.00
Positions (direct):
Ce (0.500, 0.500, 0.500)
Tl (0.000, 0.000, 0.000)
Gd (0.250, 0.250, 0.250)
Gd (0.750, 0.750, 0.750)

Values from the calculation:
space-group type	Fm-3m, No. 225
D(E_F)	9.778	states/eV/cell



Which one sits at the top of the stability order? model a does.



Model a:
Material: CeGdTl2
Method: DFT, GGA-PBE
State: relaxed

Lattice parameters (Å, degrees): 3.517 3.517 9.129 90.00 90.00 90.00
Positions (direct):
Gd (0.500, 0.500, 0.000)
Ce (0.500, 0.500, 0.500)
Tl (0.000, 0.000, 0.247)
Tl (0.000, 0.000, 0.753)

Values from the calculation:
space-group type	P4/mmm, No. 123
D(E_F)	7.950	states/eV/cell



Model b:
Material: CeGdTl2
Method: DFT, GGA-PBE
State: relaxed

Lattice parameters (Å, degrees): 5.476 5.476 5.476 60.00 60.00 60.00
Positions (direct):
Tl (0.250, 0.250, 0.250)
Tl (0.750, 0.750, 0.750)
Gd (0.500, 0.500, 0.500)
Ce (0.000, 0.000, 0.000)

Values from the calculation:
space-group type	Fm-3m, No. 225
D(E_F)	10.403	states/eV/cell



Which one sits at the top of the stability order? model a does.



Model a:
Material: CeGdTm2
Method: DFT, GGA-PBE
State: relaxed

Lattice parameters (Å, degrees): 3.372 3.372 12.375 82.17 82.17 60.00
Positions (direct):
Ce (0.000, 0.000, 0.000)
Tm (0.912, 0.912, 0.264)
Tm (0.088, 0.088, 0.736)
Gd (0.500, 0.500, 0.500)

Values from the calculation:
space-group type	R-3m, No. 166
D(E_F)	7.418	states/eV/cell



Model b:
Material: CeGdTm2
Method: DFT, GGA-PBE
State: relaxed

Lattice parameters (Å, degrees): 4.898 4.995 4.995 90.00 90.00 90.00
Positions (direct):
Ce (0.500, 0.500, 0.500)
Tm (0.000, 0.500, 0.000)
Gd (0.500, 0.000, 0.000)
Tm (0.000, 0.000, 0.500)

Values from the calculation:
space-group type	P4/mmm, No. 123
D(E_F)	7.728	states/eV/cell



Model c:
Material: CeGdTm2
Method: DFT, GGA-PBE
State: relaxed

Lattice parameters (Å, degrees): 3.525 3.525 9.852 90.00 90.00 90.00
Positions (direct):
Tm (0.000, 0.000, 0.756)
Tm (0.000, 0.000, 0.244)
Gd (0.500, 0.500, 0.500)
Ce (0.500, 0.500, 0.000)

Values from the calculation:
space-group type	P4/mmm, No. 123
D(E_F)	8.407	states/eV/cell



Which one sits at the top of the stability order? model c does.



Model a:
Material: CeGdTm
Method: DFT, GGA-PBE
State: relaxed

Lattice parameters (Å, degrees): 3.507 3.507 8.568 90.00 90.00 120.00
Positions (direct):
Gd (0.000, 0.000, 0.996)
Tm (0.667, 0.333, 0.338)
Ce (0.333, 0.667, 0.666)

Values from the calculation:
space-group type	P3m1, No. 156
D(E_F)	6.484	states/eV/cell



Model b:
Material: CeGdTm
Method: DFT, GGA-PBE
State: relaxed

Lattice parameters (Å, degrees): 3.519 3.519 7.787 103.06 103.06 90.00
Positions (direct):
Tm (0.672, 0.672, 0.343)
Gd (0.996, 0.996, 0.991)
Ce (0.333, 0.333, 0.666)

Values from the calculation:
space-group type	I4mm, No. 107
D(E_F)	6.359	states/eV/cell



Which one sits at the top of the stability order? model a does.